(1)
## TlFeNi (SCAN)

Data for TlFeNi at its PBEsol-relaxed geometry.

Lattice parameters (Å, degrees): 5.8127 5.8127 5.8127 90.00 90.00 90.00
Closest atoms and distances in Å follow each position.
Space group F-43m (No. 216)
Asymmetric unit:
Tl 0.0000 0.0000 0.0000 (multiplicity 4)  4 Ni 2.52
Fe 0.0000 0.0000 0.5000 (multiplicity 4)  4 Ni 2.52
Ni 0.2500 0.2500 0.2500 (multiplicity 4)  4 Tl 2.52, 4 Fe 2.52

Summary:
* magnetic moment: 1.023 μB/atom
* ΔE_f: 385 meV per atom

---

(2)
## CoReTc2 (SCAN)

Data for CoReTc2 at its PBEsol-relaxed geometry.

Lattice parameters (Å, degrees): 3.7675 3.7675 7.4192 90.00 90.00 90.00
Closest atoms and distances in Å follow each position.
Space group I4/mmm (No. 139)
Asymmetric unit:
Co 0.0000 0.0000 0.0000 (multiplicity 2)  8 Tc 2.64, 4 Re 2.66
Re 0.0000 0.0000 0.5000 (multiplicity 2)  8 Tc 2.64, 4 Co 2.66
Tc 0.0000 0.5000 0.2500 (multiplicity 4)  4 Co 2.64, 4 Re 2.64, 4 Tc 2.66

Summary:
* magnetic moment: 0.141 μB/atom
* ΔE_f: 79 meV per atom
* polymorph energy (0 for the lowest one): 0.6 kJ per mole of atoms

---

(3)
## Ag4Bi2O5 (SCAN)

Data for Ag4Bi2O5 at its PBEsol-relaxed geometry.

Lattice parameters (Å, degrees): 14.3408 5.7591 8.4695 90.00 90.00 90.00
Closest atoms and distances in Å follow each position.
Space group Pnna (No. 52)
Asymmetric unit:
Ag 0.0827 0.0104 0.1370 (multiplicity 8)  2 O 2.07-2.12
Ag 0.2483 0.7500 0.2500 (multiplicity 4)  2 O 2.16
Ag 0.2500 0.0000 0.9318 (multiplicity 4)  2 O 2.07
Bi 0.1109 0.5022 0.9074 (multiplicity 8)  4 O 2.15-2.37
O 0.0438 0.5515 0.1316 (multiplicity 8)  1 Ag 2.07, 2 Bi 2.15-2.26
O 0.1159 0.1296 0.9072 (multiplicity 8)  2 Ag 2.07-2.12, 1 Bi 2.15
O 0.2500 0.0000 0.4407 (multiplicity 4)  2 Ag 2.16, 2 Bi 2.37

Summary:
* uncorrected formation energy: -0.596 eV/atom
* magnetic moment: 0.000 μB/atom

---

(4)
## ScMn2Te (SCAN)

Data for ScMn2Te at its PBEsol-relaxed geometry.

Lattice parameters (Å, degrees): 3.4810 3.4810 5.7788 90.00 90.00 90.00
Closest atoms and distances in Å follow each position.
Space group P4mm (No. 99)
Asymmetric unit:
Sc 0.0000 0.0000 0.0000 (multiplicity 1)  5 Mn 2.66-2.84, 4 Te 2.97
Mn 0.0000 0.0000 0.5395 (multiplicity 1)  1 Sc 2.66, 4 Mn 2.76, 4 Te 2.86
Mn 0.5000 0.5000 0.7547 (multiplicity 1)  1 Te 2.70, 4 Mn 2.76, 4 Sc 2.84
Te 0.5000 0.5000 0.2871 (multiplicity 1)  5 Mn 2.70-2.86, 4 Sc 2.97

Summary:
* uncorrected formation energy: -0.248 eV/atom
* magnetic moment: 1.827 μB/atom

---

(5)
## ZrBRh3 (SCAN)

Data for ZrBRh3 at its PBEsol-relaxed geometry.

Lattice parameters (Å, degrees): 4.0856 4.0856 4.0856 90.00 90.00 90.00
Closest atoms and distances in Å follow each position.
Space group Pm-3m (No. 221)
Asymmetric unit:
Zr 0.0000 0.0000 0.0000 (multiplicity 1)  12 Rh 2.89
B 0.5000 0.5000 0.5000 (multiplicity 1)  6 Rh 2.04
Rh 0.0000 0.5000 0.5000 (multiplicity 3)  2 B 2.04

Summary:
* magnetic moment: 0.000 μB/atom
* ΔE_f: -855 meV per atom

---

(6)
## ZnGa2Se4 (SCAN)

Data for ZnGa2Se4 at its PBEsol-relaxed geometry.

Lattice parameters (Å, degrees): 5.5008 5.5008 10.8564 90.00 90.00 90.00
Closest atoms and distances in Å follow each position.
Space group I-4 (No. 82)
Asymmetric unit:
Zn 0.0000 0.0000 0.0000 (multiplicity 2)  4 Se 2.45
Ga 0.0000 0.0000 0.5000 (multiplicity 2)  4 Se 2.42
Ga 0.0000 0.5000 0.2500 (multiplicity 2)  4 Se 2.42
Se 0.2306 0.7356 0.6347 (multiplicity 8)  2 Ga 2.42, 1 Zn 2.45

Summary:
* uncorrected formation energy: -0.712 eV/atom
* magnetic moment: 0.000 μB/atom

---

(7)
## MgCrW2 (SCAN)

Data for MgCrW2 at its PBEsol-relaxed geometry.

Lattice parameters (Å, degrees): 2.8470 2.8470 26.4970 90.00 90.00 120.00
Closest atoms and distances in Å follow each position.
Space group R-3m (No. 166, hexagonal axes)
Asymmetric unit:
Mg 0.0000 0.0000 0.0000 (multiplicity 3)  6 Mg 2.85, 6 W 2.97
Cr 0.0000 0.0000 0.5000 (multiplicity 3)  6 W 2.55, 6 Cr 2.85
W 0.0000 0.0000 0.2402 (multiplicity 6)  3 Cr 2.55, 6 W 2.85

Summary:
* magnetic moment: 0.000 μB/atom
* ΔE_f: 538 meV per atom
* polymorph energy (0 for the lowest one): 3.3 kJ per mole of atoms

---

(8)
## Re2NiPt (SCAN)

Data for Re2NiPt at its PBEsol-relaxed geometry.

Lattice parameters (Å, degrees): 4.1112 2.6187 10.1414 90.00 90.00 90.00
Closest atoms and distances in Å follow each position.
Space group Amm2 (No. 38)
Asymmetric unit:
Re 0.0000 0.0000 0.0000 (multiplicity 2)  6 Re 2.62-2.83, 4 Ni 2.65, 3 Pt 2.67-2.74
Re 0.5000 0.0000 0.3581 (multiplicity 2)  1 Ni 2.48, 2 Re 2.62, 4 Pt 2.73
Ni 0.5000 0.0000 0.6022 (multiplicity 2)  2 Pt 2.47, 5 Re 2.48-2.65, 2 Ni 2.62
Pt 0.0000 0.0000 0.7368 (multiplicity 2)  2 Ni 2.47, 2 Pt 2.62, 7 Re 2.67-2.74

Summary:
* magnetic moment: 0.000 μB/atom
* ΔE_f: -44 meV per atom
* polymorph energy (0 for the lowest one): 0.0 kJ per mole of atoms

---

(9)
## Zr2Sc (SCAN)

Data for Zr2Sc at its PBEsol-relaxed geometry.

Lattice parameters (Å, degrees): 4.4656 4.4656 26.8409 90.00 90.00 90.00
Closest atoms and distances in Å follow each position.
Space group I4_1/amd (No. 141, origin choice 2)
Asymmetric unit:
Zr 0.0000 0.2500 0.1248 (multiplicity 8)  8 Zr 3.14-3.16, 4 Sc 3.14-3.15
Zr 0.0000 0.2500 0.2925 (multiplicity 8)  6 Zr 3.14-3.19, 6 Sc 3.16-3.19
Sc 0.0000 0.2500 0.7925 (multiplicity 8)  10 Zr 3.14-3.19, 2 Sc 3.19

Summary:
* magnetic moment: 0.000 μB/atom
* ΔE_f: 50 meV per atom

---

(10)
## MgZnCd2 (SCAN)

Data for MgZnCd2 at its PBEsol-relaxed geometry.

Lattice parameters (Å, degrees): 3.1331 3.1331 27.7104 90.00 90.00 120.00
Closest atoms and distances in Å follow each position.
Space group R-3m (No. 166, hexagonal axes)
Asymmetric unit:
Mg 0.0000 0.0000 0.0000 (multiplicity 3)  6 Cd 3.03, 6 Mg 3.13
Zn 0.0000 0.0000 0.5000 (multiplicity 3)  6 Cd 2.84, 6 Zn 3.13
Cd 0.0000 0.0000 0.2458 (multiplicity 6)  3 Zn 2.84, 3 Mg 3.03, 6 Cd 3.13

Summary:
* magnetic moment: 0.002 μB/atom
* ΔE_f: 17 meV per atom
* polymorph energy (0 for the lowest one): 5.7 kJ per mole of atoms

---

(11)
## TaGaTc3 (SCAN)

Data for TaGaTc3 at its PBEsol-relaxed geometry.

Lattice parameters (Å, degrees): 4.6683 4.6683 4.6683 90.00 90.00 90.00
Closest atoms and distances in Å follow each position.
Space group Pm-3m (No. 221)
Asymmetric unit:
Ta 0.0000 0.0000 0.0000 (multiplicity 1)  6 Tc 2.33
Ga 0.5000 0.5000 0.5000 (multiplicity 1)  12 Tc 3.30
Tc 0.0000 0.0000 0.5000 (multiplicity 3)  2 Ta 2.33

Summary:
* magnetic moment: 0.637 μB/atom
* ΔE_f: 1742 meV per atom

---

(12)
## Sr2Mg (SCAN)

Data for Sr2Mg at its PBEsol-relaxed geometry.

Lattice parameters (Å, degrees): 8.6618 8.6618 6.8134 90.00 90.00 90.00
Closest atoms and distances in Å follow each position.
Space group I4/mcm (No. 140)
Asymmetric unit:
Sr 0.1647 0.3353 0.0000 (multiplicity 8)  4 Mg 3.66, 3 Sr 4.00-4.04
Mg 0.0000 0.0000 0.2500 (multiplicity 4)  2 Mg 3.41, 8 Sr 3.66

Summary:
* magnetic moment: 0.012 μB/atom
* ΔE_f: -20 meV per atom